Entry 1:
VASP calculation (PBE-GGA) on NaSmF after structural relaxation.

a b c (Å): 3.5104 3.5104 12.6382
angles (deg): 97.82 97.82 59.76
Fractional positions:
1 Na 0.7592 0.7592 0.2804
2 Na 0.9939 0.9939 0.0270
3 F 0.4622 0.4622 0.3892
4 F 0.2911 0.2911 0.9182
5 Sm 0.1733 0.1733 0.5375
6 Sm 0.5798 0.5798 0.7697

Calculated values
Uncorrected formation energy (eV/atom): -1.599
Electronic total energy (eV per atom): -4.24
Total magnetic moment (μB/f.u.): 0.00

---

Entry 2:
VASP calculation (PBE-GGA) on Na2SmF5 after structural relaxation.

a b c (Å): 6.4049 7.1669 9.9152
angles (deg): 90.00 90.00 90.00
Fractional positions:
1 Na 0.5048 0.4924 0.8240
2 Na 0.4952 0.5076 0.1760
3 Na 0.0048 0.5076 0.6760
4 Na 0.4952 0.9924 0.1760
5 Na 0.9952 0.4924 0.3240
6 Na 0.5048 0.0076 0.8240
7 Na 0.9952 0.0076 0.3240
8 Na 0.0048 0.9924 0.6760
9 Sm 0.4195 0.2500 0.5072
10 Sm 0.5805 0.7500 0.4928
11 Sm 0.9195 0.7500 0.9928
12 Sm 0.0805 0.2500 0.0072
13 F 0.0635 0.2500 0.5069
14 F 0.9365 0.7500 0.4931
15 F 0.5635 0.7500 0.9931
16 F 0.4365 0.2500 0.0069
17 F 0.3528 0.9605 0.5954
18 F 0.6472 0.0395 0.4046
19 F 0.8528 0.0395 0.9046
20 F 0.6472 0.4605 0.4046
21 F 0.1472 0.9605 0.0954
22 F 0.3528 0.5395 0.5954
23 F 0.1472 0.5395 0.0954
24 F 0.8528 0.4605 0.9046
25 F 0.1956 0.2500 0.7834
26 F 0.8044 0.7500 0.2166
27 F 0.6956 0.7500 0.7166
28 F 0.3044 0.2500 0.2834
29 F 0.6415 0.2500 0.6813
30 F 0.3585 0.7500 0.3187
31 F 0.1415 0.7500 0.8187
32 F 0.8585 0.2500 0.1813

Calculated values
Uncorrected formation energy (eV/atom): -3.402
Electronic total energy (eV per atom): -5.49
Total magnetic moment (μB/f.u.): 0.06

---

Entry 3:
VASP calculation (PBE-GGA) on NaSm2F6 after structural relaxation.

a b c (Å): 3.9073 3.9073 9.1282
angles (deg): 102.36 102.36 90.00
Fractional positions:
1 Na 0.0000 0.0000 0.0000
2 Sm 0.3403 0.3403 0.6806
3 Sm 0.6597 0.6597 0.3194
4 F 0.9143 0.4143 0.8287
5 F 0.4143 0.9143 0.8287
6 F 0.0857 0.5857 0.1713
7 F 0.7500 0.2500 0.5000
8 F 0.2500 0.7500 0.5000
9 F 0.5857 0.0857 0.1713

Calculated values
Uncorrected formation energy (eV/atom): -3.535
Electronic total energy (eV per atom): -5.98
Total magnetic moment (μB/f.u.): 0.92

---

Entry 4:
VASP calculation (PBE-GGA) on NaSmF2 after structural relaxation.

a b c (Å): 3.6492 3.6492 7.1597
angles (deg): 75.24 75.24 60.00
Fractional positions:
1 Na 0.5000 0.5000 0.5000
2 Sm 0.0000 0.0000 0.0000
3 F 0.1089 0.1089 0.6734
4 F 0.8911 0.8911 0.3266

Calculated values
Uncorrected formation energy (eV/atom): -2.576
Electronic total energy (eV per atom): -5.02
Total magnetic moment (μB/f.u.): 0.00

---

Entry 5:
VASP calculation (PBE-GGA) on NaSmTl2F6 after structural relaxation.

a b c (Å): 6.4032 6.4363 9.0725
angles (deg): 90.00 90.14 90.00
Fractional positions:
1 Na 0.5000 0.0000 0.5000
2 Na 0.0000 0.5000 0.0000
3 Sm 0.5000 0.0000 0.0000
4 Sm 0.0000 0.5000 0.5000
5 Tl 0.0055 0.9738 0.2494
6 Tl 0.5055 0.5262 0.7494
7 Tl 0.9945 0.0262 0.7506
8 Tl 0.4945 0.4738 0.2506
9 F 0.2928 0.7207 0.0375
10 F 0.7928 0.7793 0.5375
11 F 0.7072 0.2793 0.9625
12 F 0.2072 0.2207 0.4625
13 F 0.2800 0.7082 0.4658
14 F 0.7800 0.7918 0.9658
15 F 0.7200 0.2918 0.5342
16 F 0.2200 0.2082 0.0342
17 F 0.9310 0.5186 0.2560
18 F 0.4310 0.9814 0.7560
19 F 0.0690 0.4814 0.7440
20 F 0.5690 0.0186 0.2440

Calculated values
Uncorrected formation energy (eV/atom): -2.884
Electronic total energy (eV per atom): -5.08
Total magnetic moment (μB/f.u.): 0.00

---

Number 1: calculated volume 133 Å³/cell. Number 2: calculated volume 455 Å³/cell. Number 3: calculated volume 133 Å³/cell. Number 4: calculated volume 79 Å³/cell. Number 5: calculated volume 374 Å³/cell.